# 1
Computed, not measured: a relaxed TcSb4 crystal at the PBE level of DFT.

Values from the calculation:
The calculation puts the total energy at -0.1829 hartree per atom. As for the uncorrected formation energy: 1.974 eV per formula unit. The energy above the lowest structure with this stoichiometry comes out at 295.7 meV/atom. Its crystal system is cubic. The calculation puts the total moment at 0.9 Bohr magnetons per cell. As for the space group: Im-3m (229).

Cell lengths 5.5922, 5.5922, 5.5922 Å; angles 109.47, 109.47, 109.47 degrees
Each line ends with the local moment (μB).
Atoms (fractional coordinates):
1 Tc 0.0000 0.0000 0.0000  0.73
2 Sb 0.5000 0.0000 0.0000  0.01
3 Sb 0.5000 0.5000 0.5000  0.01
4 Sb 0.0000 0.0000 0.5000  0.01
5 Sb 0.0000 0.5000 0.0000  0.01

# 2
Computed, not measured: a relaxed TcSb3 crystal at the PBE level of DFT.

Values from the calculation:
The calculation puts the total energy at -0.1887 hartree per atom. As for the uncorrected formation energy: 2.198 eV per formula unit. The energy above the lowest structure with this stoichiometry comes out at 515.3 meV/atom. Its crystal system is tetragonal. The calculation puts the total moment at 0.0 Bohr magnetons per cell. As for the space group: I4/mmm (139).

Cell lengths 5.1056, 5.1056, 5.1056 Å; angles 123.86, 123.86, 83.43 degrees
Atoms (fractional coordinates):
1 Sb 0.2500 0.7500 0.5000
2 Sb 0.5000 0.5000 0.0000
3 Sb 0.7500 0.2500 0.5000
4 Tc 0.0000 0.0000 0.0000

# 3
Computed, not measured: a relaxed TcSb2 crystal at the PBE level of DFT.

Values from the calculation:
The calculation puts the total energy at -0.2270 hartree per atom. As for the uncorrected formation energy: 0.081 eV per formula unit. The energy above the lowest structure with this stoichiometry comes out at 44.6 meV/atom. Its crystal system is tetragonal. The calculation puts the total moment at 0.0 Bohr magnetons per cell. As for the space group: I4/mmm (139).

Cell lengths 3.2415, 3.2415, 6.8729 Å; angles 103.64, 103.64, 90.00 degrees
Atoms (fractional coordinates):
1 Sb 0.3732 0.3732 0.7464
2 Sb 0.6268 0.6268 0.2536
3 Tc 0.0000 0.0000 0.0000

# 4
Computed, not measured: a relaxed Tc5Sb3 crystal at the PBE level of DFT.

Values from the calculation:
The calculation puts the total energy at -0.2839 hartree per atom. As for the uncorrected formation energy: 2.393 eV per formula unit. Its crystal system is monoclinic. The calculation puts the total moment at 0.0 Bohr magnetons per cell. As for the space group: C2/m (12).

Cell lengths 7.4539, 7.4539, 8.4165 Å; angles 100.05, 100.05, 136.28 degrees
Atoms (fractional coordinates):
1 Sb 0.7192 0.7806 0.0000
2 Sb 0.2802 0.2196 0.0000
3 Sb 0.3221 0.1769 0.4999
4 Sb 0.6765 0.8225 0.5000
5 Sb 0.1617 0.6621 0.8806
6 Sb 0.8377 0.3381 0.1194
7 Tc 0.2512 0.7517 0.5309
8 Tc 0.7478 0.2482 0.4692
9 Tc 0.8356 0.1091 0.8221
10 Tc 0.1638 0.8911 0.1779
11 Tc 0.7300 0.5223 0.3284
12 Tc 0.2692 0.4776 0.6717
13 Tc 0.6087 0.3360 0.8220
14 Tc 0.3907 0.6642 0.1779
15 Tc 0.0219 0.2304 0.3284
16 Tc 0.9772 0.7696 0.6717